Compound: Mn3Al2Fe9
Source: Alexandria via LeMat-Bulk
Functional: PBE
Structure: relaxed

The energy relative to the elements is 164 kJ/mol of formula units.

Cell: 6.832 6.832 6.832 Å, 146.48 97.57 91.98°
Fractional positions:
Mn 0.000 0.000 0.000
Mn 0.272 0.272 0.000
Mn 0.728 0.728 0.000
Al 0.347 0.500 0.847
Al 0.653 0.500 0.153
Fe 0.500 0.000 0.500
Fe 0.985 0.364 0.621
Fe 0.015 0.636 0.379
Fe 0.743 0.364 0.379
Fe 0.257 0.636 0.621
Fe 0.878 0.149 0.729
Fe 0.122 0.851 0.271
Fe 0.420 0.149 0.271
Fe 0.580 0.851 0.729